Below is W2BrCl4 after structural relaxation, with properties calculated at the PBE level.

As for the theoretical density: 3.92 g/cm³. The space-group type is Cc (9). The calculation puts the total energy at -5.472 eV/atom. The calculation puts the formation energy without anion corrections at -0.476 eV per atom.

Cell: 7.966 7.966 8.231 Å, 93.39 93.39 106.36°
Last column: magnetic moment on the atom in μB.
Fractional positions:
Br: 0.297 0.877 0.580  0.01
Br: 0.127 0.047 0.080  0.01
W: 0.578 0.044 0.503  0.02
W: 0.626 0.324 0.621  0.66
W: 0.294 0.328 0.003  0.02
W: 0.574 0.376 0.121  0.66
Cl: 0.914 0.441 0.558  0.04
Cl: 0.721 0.275 0.899  0.01
Cl: 0.565 0.086 0.224  0.00
Cl: 0.525 0.471 0.399  0.01
Cl: 0.799 0.953 0.615  0.01
Cl: 0.203 0.549 0.115  0.01
Cl: 0.691 0.664 0.058  0.04
Cl: 0.336 0.315 0.724  0.00

***

Below is WBr2Cl3 after structural relaxation, with properties calculated at the PBE level.

As for the theoretical density: 3.09 g/cm³. The space-group type is P-1 (2). The calculation puts the total energy at -4.290 eV/atom. The calculation puts the formation energy without anion corrections at -0.650 eV per atom.

Cell: 7.120 8.079 10.524 Å, 65.63 90.01 63.99°
Last column: magnetic moment on the atom in μB.
Fractional positions:
W: 0.173 0.000 0.250  0.75
W: 0.827 0.000 0.750  0.75
Br: 0.548 0.211 0.537  0.00
Br: 0.242 0.211 0.038  0.00
Br: 0.758 0.789 0.962  0.00
Br: 0.452 0.789 0.463  0.00
Cl: 0.143 0.999 0.750  0.00
Cl: 0.857 0.001 0.250  0.00
Cl: 0.696 0.270 0.812  0.03
Cl: 0.963 0.730 0.688  0.03
Cl: 0.037 0.270 0.312  0.03
Cl: 0.304 0.730 0.188  0.03

***

Below is WBrCl after structural relaxation, with properties calculated at the PBE level.

As for the theoretical density: 6.14 g/cm³. The space-group type is P-1 (2). As for the relative energy among the computed polymorphs: 0.0 kJ/mol of atoms. The calculation puts the total energy at -5.889 eV/atom. The calculation puts the formation energy without anion corrections at -0.398 eV per atom.

Cell: 4.055 5.398 7.802 Å, 71.52 89.20 87.15°
Fractional positions:
Br: 0.999 0.603 0.775
Br: 0.001 0.397 0.225
W: 0.205 0.146 0.000
W: 0.795 0.854 0.000
Cl: 0.501 0.879 0.264
Cl: 0.499 0.121 0.736

***

Below is W2Br3Cl4 after structural relaxation, with properties calculated at the PBE level.

As for the theoretical density: 5.22 g/cm³. The space-group type is C2/c (15). The calculation puts the total energy at -4.796 eV/atom. The calculation puts the formation energy without anion corrections at -0.540 eV per atom.

Cell: 6.783 9.018 9.018 Å, 76.36 68.99 68.99°
Last column: magnetic moment on the atom in μB.
Fractional positions:
W: 0.384 0.152 0.465  0.38
W: 0.116 0.535 0.848  0.38
W: 0.616 0.848 0.535  0.38
W: 0.884 0.465 0.152  0.38
Br: 0.988 0.862 0.385  0.03
Br: 0.512 0.615 0.138  0.03
Br: 0.012 0.138 0.615  0.03
Br: 0.488 0.385 0.862  0.03
Br: 0.250 0.442 0.558  0.00
Br: 0.750 0.558 0.442  0.00
Cl: 0.485 0.943 0.310  -0.01
Cl: 0.015 0.690 0.057  -0.01
Cl: 0.515 0.057 0.690  -0.01
Cl: 0.985 0.310 0.943  -0.01
Cl: 0.229 0.304 0.230  0.01
Cl: 0.271 0.770 0.696  0.01
Cl: 0.771 0.696 0.770  0.01
Cl: 0.729 0.230 0.304  0.01

***

Below is WBrCl after structural relaxation, with properties calculated at the PBE level.

As for the theoretical density: 6.46 g/cm³. The space-group type is F-43m (216). As for the relative energy among the computed polymorphs: 192.8 kJ/mol of atoms. The calculation puts the total energy at -3.890 eV/atom. The calculation puts the formation energy without anion corrections at 1.601 eV per atom.

Cell: 4.774 4.774 4.774 Å, 60.00 60.00 60.00°
Last column: magnetic moment on the atom in μB.
Fractional positions:
Br: 0.250 0.250 0.250  -0.10
W: 0.500 0.500 0.500  3.09
Cl: 0.000 0.000 0.000  0.05

***

Below is W4BrCl7 after structural relaxation, with properties calculated at the PBE level.

As for the theoretical density: 4.75 g/cm³. The space-group type is P1 (1). The calculation puts the total energy at -5.959 eV/atom. The calculation puts the formation energy without anion corrections at -0.425 eV per atom.

Cell: 7.951 10.128 17.456 Å, 117.42 98.15 39.88°
Fractional positions:
W: 0.984 0.488 0.834
W: 0.809 0.773 0.199
W: 0.511 0.205 0.256
W: 0.031 0.429 0.683
W: 0.274 0.175 0.305
W: 0.532 0.793 0.118
W: 0.884 0.787 0.782
W: 0.420 0.048 0.734
Br: 0.415 0.934 0.570
Br: 0.791 0.375 0.021
Cl: 0.007 0.826 0.145
Cl: 0.641 0.296 0.374
Cl: 0.402 0.131 0.892
Cl: 0.832 0.897 0.679
Cl: 0.013 0.587 0.366
Cl: 0.328 0.342 0.151
Cl: 0.676 0.521 0.643
Cl: 0.978 0.222 0.782
Cl: 0.049 0.211 0.191
Cl: 0.525 0.773 0.255
Cl: 0.562 0.802 0.985
Cl: 0.250 0.261 0.455
Cl: 0.023 0.729 0.908
Cl: 0.373 0.394 0.671

***

Below is WBrCl after structural relaxation, with properties calculated at the PBE level.

As for the theoretical density: 7.40 g/cm³. The space-group type is P3m1 (156). As for the relative energy among the computed polymorphs: 45.6 kJ/mol of atoms. The calculation puts the total energy at -5.416 eV/atom. The calculation puts the formation energy without anion corrections at 0.074 eV per atom.

Cell: 3.202 3.202 7.562 Å, 90.00 90.00 120.00°
Fractional positions:
Br: 0.000 0.000 0.909
W: 0.333 0.667 0.658
Cl: 0.667 0.333 0.434

***

Below is WBrCl after structural relaxation, with properties calculated at the PBE level.

As for the theoretical density: 6.38 g/cm³. The space-group type is P-1 (2). As for the relative energy among the computed polymorphs: 12.7 kJ/mol of atoms. The calculation puts the total energy at -5.757 eV/atom. The calculation puts the formation energy without anion corrections at -0.266 eV per atom.

Cell: 3.244 5.437 9.443 Å, 110.62 90.39 87.88°
Fractional positions:
W: 0.210 0.125 0.945
W: 0.790 0.875 0.055
Br: 0.234 0.855 0.678
Br: 0.766 0.145 0.322
Cl: 0.787 0.454 0.845
Cl: 0.213 0.546 0.155

***

Below is WBrCl after structural relaxation, with properties calculated at the PBE level.

As for the theoretical density: 6.76 g/cm³. The space-group type is P2_1/c (14). As for the relative energy among the computed polymorphs: 31.4 kJ/mol of atoms. The calculation puts the total energy at -5.563 eV/atom. The calculation puts the formation energy without anion corrections at -0.072 eV per atom.

Cell: 6.677 9.993 6.663 Å, 138.57 90.00 90.00°
Fractional positions:
W: 0.664 0.536 0.073
W: 0.836 0.036 0.073
W: 0.336 0.464 0.927
W: 0.164 0.964 0.927
Br: 0.251 0.655 0.810
Br: 0.751 0.845 0.190
Br: 0.749 0.345 0.190
Br: 0.249 0.155 0.810
Cl: 0.373 0.186 0.372
Cl: 0.127 0.686 0.372
Cl: 0.627 0.814 0.628
Cl: 0.873 0.314 0.628

***

Below is WBr3Cl3 after structural relaxation, with properties calculated at the PBE level.

As for the theoretical density: 3.22 g/cm³. The space-group type is R3m (160). The calculation puts the total energy at -3.896 eV/atom. The calculation puts the formation energy without anion corrections at -0.537 eV per atom.

Cell: 7.092 7.092 7.092 Å, 109.62 109.62 109.62°
Fractional positions:
W: 0.878 0.878 0.878
Br: 0.010 0.296 0.010
Br: 0.010 0.010 0.296
Br: 0.296 0.010 0.010
Cl: 0.580 0.580 0.847
Cl: 0.847 0.580 0.580
Cl: 0.580 0.847 0.580

***

Below is W3BrCl after structural relaxation, with properties calculated at the PBE level.

As for the theoretical density: 12.17 g/cm³. The space-group type is Pm-3m (221). As for the relative energy among the computed polymorphs: 0.0 kJ/mol of atoms. The calculation puts the total energy at -6.317 eV/atom. The calculation puts the formation energy without anion corrections at 2.159 eV per atom.

Cell: 4.498 4.498 4.498 Å, 90.00 90.00 90.00°
Fractional positions:
Br: 0.500 0.500 0.500
W: 0.000 0.500 0.000
W: 0.000 0.000 0.500
W: 0.500 0.000 0.000
Cl: 0.000 0.000 0.000

***

Below is WBrCl after structural relaxation, with properties calculated at the PBE level.

As for the theoretical density: 6.89 g/cm³. The space-group type is Fmm2 (42). As for the relative energy among the computed polymorphs: 58.6 kJ/mol of atoms. The calculation puts the total energy at -5.281 eV/atom. The calculation puts the formation energy without anion corrections at 0.210 eV per atom.

Cell: 8.445 8.040 3.363 Å, 85.08 71.55 23.37°
Last column: magnetic moment on the atom in μB.
Fractional positions:
Br: 0.961 0.961 0.039  0.02
W: 0.330 0.330 0.670  0.81
Cl: 0.708 0.708 0.292  0.02

***

Below is WBrCl after structural relaxation, with properties calculated at the PBE level.

As for the theoretical density: 7.61 g/cm³. The space-group type is I4mm (107). As for the relative energy among the computed polymorphs: 90.9 kJ/mol of atoms. The calculation puts the total energy at -4.946 eV/atom. The calculation puts the formation energy without anion corrections at 0.545 eV per atom.

Cell: 7.032 7.032 7.032 Å, 154.31 154.31 36.65°
Last column: magnetic moment on the atom in μB.
Fractional positions:
Br: 0.052 0.052 0.000  -0.01
W: 0.664 0.664 0.000  0.26
Cl: 0.284 0.284 0.000  0.02